Compound: Na4As2O7
Source: the Alexandria database
Functional: PBEsol
Structure: relaxed

As for the space group: C2/c, No. 15. The energy relative to the elements, uncorrected is -21.1 eV per formula unit. As for the density: 3137 kg/m3. The calculation puts the density of states at the Fermi level at 0.0 states/eV/cell.

Lattice parameters (Å, degrees): 5.890 5.890 12.344 91.43 91.43 118.87
Sites, in units of the cell vectors:
As1 0.704 0.009 0.638
As2 0.991 0.296 0.862
As3 0.296 0.991 0.362
As4 0.009 0.704 0.138
O1 0.288 0.357 0.907
O2 0.643 0.712 0.593
O3 0.889 0.247 0.555
O4 0.753 0.111 0.945
O5 0.444 0.023 0.686
O6 0.023 0.444 0.186
O7 0.712 0.643 0.093
O8 0.247 0.889 0.055
O9 0.357 0.288 0.407
O10 0.936 0.064 0.750
O11 0.977 0.556 0.814
O12 0.556 0.977 0.314
O13 0.064 0.936 0.250
O14 0.111 0.753 0.445
Na1 0.703 0.679 0.904
Na2 0.297 0.321 0.096
Na3 0.021 0.667 0.628
Na4 0.333 0.979 0.872
Na5 0.667 0.021 0.128
Na6 0.321 0.297 0.596
Na7 0.979 0.333 0.372
Na8 0.679 0.703 0.404

***

Compound: HgSb2Pt
Source: the Alexandria database
Functional: PBEsol
Structure: relaxed

As for the space group: Pm, No. 6. The energy relative to the elements, uncorrected is -0.1 eV per formula unit. As for the density: 11966 kg/m3. The calculation puts the density of states at the Fermi level at 1.8 states/eV/cell.

Lattice parameters (Å, degrees): 3.828 4.209 5.787 107.91 90.00 90.00
Sites, in units of the cell vectors:
Pt1 0.500 0.430 0.826
Sb1 0.000 0.917 0.910
Sb2 0.500 0.549 0.308
Hg1 0.000 0.104 0.456

***

Compound: Ag2SO4
Source: the Alexandria database
Functional: PBEsol
Structure: relaxed

As for the space group: Fddd, No. 70. The energy relative to the elements, uncorrected is -5.9 eV per formula unit. As for the density: 5492 kg/m3.

Lattice parameters (Å, degrees): 5.455 6.278 6.693 79.80 65.95 64.25
Sites, in units of the cell vectors:
O1 0.588 0.655 0.359
O2 0.053 0.345 0.359
O3 0.162 0.845 0.141
O4 0.602 0.345 0.641
O5 0.148 0.155 0.859
O6 0.757 0.655 0.641
O7 0.697 0.155 0.141
O8 0.993 0.845 0.859
Ag1 0.703 0.594 0.000
Ag2 0.453 0.094 0.500
Ag3 0.297 0.406 0.000
Ag4 0.047 0.906 0.500
S1 0.750 0.500 0.500
S2 0.000 0.000 0.000

***

Q: Which formula does entry 3 have?
A: Ag2SO4